VASP calculation (PBE with a Hubbard U) on a relaxed Mo2PbSe2O11 crystal.

- Raw total energy: -6.2085 eV per atom
- N(E_F): 0.0 states/eV/cell
- Magnetic moment: 0.000 Bohr magnetons per cell

abc: 8.279 8.298 9.014
angles: 83.75 113.90 112.53
Atoms (fractional coordinates):
Mo (0.281, 0.378, 0.808)
Mo (0.719, 0.622, 0.192)
Mo (0.285, 0.970, 0.047)
Mo (0.715, 0.030, 0.953)
O (0.234, 0.285, 0.622)
O (0.930, 0.606, 0.212)
O (0.673, 0.107, 0.450)
O (0.336, 0.493, 0.339)
O (0.722, 0.827, 0.075)
O (0.376, 0.781, 0.191)
O (0.247, 0.035, 0.204)
O (0.406, 0.523, 0.067)
O (0.070, 0.394, 0.788)
O (0.753, 0.965, 0.796)
O (0.664, 0.507, 0.661)
O (0.327, 0.893, 0.550)
O (0.633, 0.371, 0.280)
O (0.597, 0.091, 0.129)
O (0.766, 0.715, 0.378)
O (0.403, 0.909, 0.871)
O (0.594, 0.477, 0.933)
O (0.367, 0.629, 0.720)
O (0.071, 0.811, 0.927)
O (0.278, 0.173, 0.925)
O (0.624, 0.219, 0.809)
O (0.929, 0.189, 0.073)
Se (0.250, 0.775, 0.689)
Se (0.745, 0.446, 0.854)
Se (0.255, 0.554, 0.146)
Se (0.750, 0.225, 0.311)
Pb (0.423, 0.224, 0.474)
Pb (0.577, 0.776, 0.526)